Ac2Zn5Cd: relaxed, PBE.

extended XYZ file:
```
16
Lattice="4.6227 0.0000 0.0000 -2.3113 8.6953 0.0000 0.0000 0.0000 9.4057" Properties=species:S:1:pos:R:3 pbc="T T T"
Ac 2.3113 5.0548 7.0543
Ac 0.0000 3.6405 2.3514
Ac 0.0000 0.0000 0.0000
Ac 0.0000 0.0000 4.7028
Zn 0.0000 3.1577 8.3775
Zn 2.3113 5.5377 1.0282
Zn 0.0000 3.1577 5.7311
Zn 2.3113 5.5377 3.6746
Zn 0.0000 6.0253 9.2985
Zn 2.3113 2.6701 0.1072
Zn 0.0000 6.0253 4.8101
Zn 2.3113 2.6701 4.5956
Zn 2.3113 1.7127 7.0543
Zn 0.0000 6.9827 2.3514
Cd 0.0000 7.6709 7.0543
Cd 2.3113 1.0245 2.3514
```

DOS(E_F) = 13.28 states/eV/cell
Calculated formation energy = -0.28 eV per atom
Uncorrected energy = -2.2158 eV per atom
Space group = Cmcm
Magnetization = 0.00 μB/cell